VASP calculation (PBE) on an optimized crystal structure of Tl3CdAg3Cl8.

a b c (Å): 8.1466 8.2105 8.7285
angles (deg): 117.97 90.00 119.74
Fractional positions:
Cl (0.2516, 0.0237, 0.3001)
Ag (0.5000, 0.0000, 0.5000)
Tl (0.5000, 0.5000, 0.0000)
Tl (0.0000, 0.5000, 0.0000)
Ag (0.0000, 0.5000, 0.5000)
Cl (0.2638, 0.5276, 0.2965)
Ag (0.5000, 0.5000, 0.5000)
Cl (0.2279, 0.9763, 0.6999)
Cd (0.0000, 0.0000, 0.5000)
Tl (0.0000, 0.0000, 0.0000)
Cl (0.2248, 0.4496, 0.6978)
Cl (0.7484, 0.9763, 0.6999)
Cl (0.7752, 0.5504, 0.3022)
Cl (0.7721, 0.0237, 0.3001)
Cl (0.7362, 0.4724, 0.7035)

## Properties
The total DFT energy (no corrections) is -0.106 hartree per atom. The value obtained for the formation energy without anion corrections is -0.787 eV/atom. Its space group is C2/m, No. 12. The value obtained for the calculated volume is 427 Å³ per cell.

VASP calculation (PBE) on an optimized crystal structure of Sr2InAg.

a b c (Å): 3.9460 3.9460 8.7889
angles (deg): 90.00 90.00 90.00
Fractional positions:
In (0.5000, 0.5000, 0.6997)
Sr (0.0000, 0.0000, 0.9358)
Ag (0.0000, 0.0000, 0.5460)
Sr (0.5000, 0.5000, 0.3186)

## Properties
The total DFT energy (no corrections) is -0.089 hartree per atom. Its space group is P4mm, No. 99. The value obtained for the calculated volume is 137 Å³ per cell.

VASP calculation (PBE) on an optimized crystal structure of TlIr3S.

a b c (Å): 4.4872 4.4872 4.4872
angles (deg): 90.00 90.00 90.00
Fractional positions:
Ir (0.0000, 0.5000, 0.0000)
Tl (0.5000, 0.5000, 0.5000)
Ir (0.5000, 0.0000, 0.0000)
S (0.0000, 0.0000, 0.0000)
Ir (0.0000, 0.0000, 0.5000)

## Properties
The total DFT energy (no corrections) is -0.213 hartree per atom. The value obtained for the formation energy without anion corrections is 0.822 eV/atom. For the relative energy among the computed polymorphs, the calculation gives 0 meV/atom. Its space group is Pm-3m, No. 221. The value obtained for the calculated volume is 90 Å³ per cell.